Cr2CoPbF after structural relaxation, computed with GGA+U.

```
data_Cr2CoPbF
_space_group_name_H-M_alt 'P 4/m m m'
_space_group_IT_number 123
_space_group_name_Hall '-P 4 2'
_cell_length_a 4.737
_cell_length_b 4.737
_cell_length_c 4.938
_cell_angle_alpha 90.00
_cell_angle_beta 90.00
_cell_angle_gamma 90.00
loop_
_atom_site_label
_atom_site_fract_x
_atom_site_fract_y
_atom_site_fract_z
_atom_site_occupancy
Cr1 0.000 0.500 0.000 1
Co1 0.000 0.000 0.000 1
Pb1 0.000 0.000 0.500 1
F1 0.500 0.500 0.500 1
```

volume: 110.8 Å³/f.u.
calculated density: 5.8 g cm⁻³
raw total energy: -4.677 eV per atom